1.
MgGeBi, relaxed, DFT GGA-PBE; total moment = 0.0 μB/f.u.; formation enthalpy at 0 K = 0.09 eV per atom; calculated volume = 26.55 A^3/atom; density of states at the Fermi level = 1.76 states/eV per cell; polymorph energy (0 for the lowest one) = 0 meV per atom; symmetry = P3m1, No. 156
1.0
-2.941 3.424 -2.327
-3.457 -1.831 1.675
1.979 3.128 2.099
Ge Mg Bi
1 1 1
Direct
0.323 0.667 0.333 Ge
0.047 0.000 0.000 Mg
0.630 0.333 0.667 Bi

=====

2.
Nd3IrCl2O6, relaxed, DFT GGA-PBE; total moment = 2.0 μB/f.u.; ΔE_f (raw) = -23.77 eV/f.u.; calculated volume = 18.31 A^3/atom; density of states at the Fermi level = 4.29 states/eV per cell; symmetry = C2/m, No. 12
1.0
5.592 0.000 0.674
0.000 6.727 0.000
0.153 -3.364 5.860
Nd Ir Cl O
3 1 2 6
Direct
0.500 0.000 0.500 Nd
0.000 0.500 0.000 Nd
0.500 0.500 0.500 Nd
0.500 0.000 0.000 Ir
0.872 0.284 0.569 Cl
0.128 0.716 0.431 Cl
0.301 0.178 0.888 O
0.672 0.841 0.681 O
0.699 0.822 0.112 O
0.328 0.159 0.319 O
0.301 0.710 0.888 O
0.699 0.290 0.112 O

=====

3.
Mn2CoIrN, relaxed, DFT GGA-PBE; total moment = 4.6 μB/f.u.; ΔE_f (raw) = -0.39 eV/f.u.; calculated volume = 11.19 A^3/atom; density of states at the Fermi level = 6.29 states/eV per cell; symmetry = P4/mmm, No. 123
1.0
-3.220 -0.059 -2.134
0.176 -3.857 -0.158
-2.064 -0.222 3.120
Ir Mn N Co
1 2 1 1
Direct
0.500 0.500 0.500 Ir
0.000 0.500 0.000 Mn
0.500 0.000 0.000 Mn
0.000 0.000 0.000 N
0.000 0.000 0.500 Co

=====

4.
ErMnN, relaxed, DFT GGA-PBE; total moment = 0.0 μB/f.u.; ΔE_f (raw) = -1.03 eV/f.u.; calculated volume = 14.89 A^3/atom; density of states at the Fermi level = 5.26 states/eV per cell; symmetry = Immm, No. 71
1.0
-3.959 -1.220 0.814
0.912 -3.441 -0.718
2.922 1.532 5.553
Er N Mn
2 2 2
Direct
0.659 0.159 0.318 Er
0.341 0.841 0.682 Er
0.137 0.637 0.275 N
0.863 0.363 0.725 N
0.738 0.500 0.000 Mn
0.262 0.500 0.000 Mn

=====

5.
Zn2Ga2Cu, relaxed, DFT GGA-PBE; total moment = 0.0 μB/f.u.; formation enthalpy at 0 K = 0.05 eV per atom; calculated volume = 16.83 A^3/atom; density of states at the Fermi level = 2.55 states/eV per cell; polymorph energy (0 for the lowest one) = 0 meV per atom; symmetry = C2/m, No. 12
1.0
6.730 0.000 0.595
3.365 4.583 0.297
3.493 0.000 5.763
Zn Ga Cu
4 4 2
Direct
0.926 0.419 0.266 Zn
0.345 0.581 0.266 Zn
0.074 0.581 0.734 Zn
0.655 0.419 0.734 Zn
0.793 0.000 0.422 Ga
0.594 0.000 0.128 Ga
0.207 0.000 0.578 Ga
0.406 0.000 0.872 Ga
0.135 0.731 0.000 Cu
0.865 0.269 0.000 Cu

=====

6.
NdAlNiPt3, relaxed, DFT GGA-PBE; total moment = 0.0 μB/f.u.; formation enthalpy at 0 K = -0.62 eV per atom; calculated volume = 18.63 A^3/atom; density of states at the Fermi level = 5.49 states/eV per cell; symmetry = Cmcm, No. 63
1.0
5.671 0.000 0.000
0.000 6.778 0.000
0.000 -3.389 5.815
Pt Ni Nd Al
6 2 2 2
Direct
0.000 0.708 0.000 Pt
0.500 0.292 0.000 Pt
0.500 0.708 0.000 Pt
0.750 0.833 0.667 Pt
0.000 0.292 0.000 Pt
0.250 0.167 0.333 Pt
0.750 0.052 0.104 Ni
0.250 0.948 0.896 Ni
0.750 0.279 0.557 Nd
0.250 0.721 0.443 Nd
0.750 0.629 0.258 Al
0.250 0.371 0.742 Al

=====

7.
SnHAu2, relaxed, DFT GGA-PBE; total moment = 0.0 μB/f.u.; calculated volume = 18.52 A^3/atom; density of states at the Fermi level = 2.43 states/eV per cell; polymorph energy (0 for the lowest one) = 0 meV per atom; symmetry = I-42d, No. 122
1.0
5.232 0.000 0.000
0.000 5.232 0.000
2.616 2.616 5.414
Au Sn H
4 2 2
Direct
0.261 0.625 0.250 Au
0.489 0.125 0.250 Au
0.875 0.739 0.750 Au
0.375 0.511 0.750 Au
0.750 0.250 0.500 Sn
0.000 0.000 0.000 Sn
0.250 0.750 0.500 H
0.500 0.500 0.000 H

=====

8.
BeBiPt3, relaxed, DFT GGA-PBE; total moment = 0.0 μB/f.u.; formation enthalpy at 0 K = -0.25 eV per atom; calculated volume = 17.47 A^3/atom; density of states at the Fermi level = 10.81 states/eV per cell; polymorph energy (0 for the lowest one) = 179 meV per atom; symmetry = Pnma, No. 62
1.0
-2.038 2.073 4.943
6.593 -3.057 4.000
3.614 6.291 -1.149
Pt Bi Be
12 4 4
Direct
0.752 0.502 0.248 Pt
0.748 0.002 0.748 Pt
0.171 0.250 0.501 Pt
0.248 0.002 0.752 Pt
0.329 0.750 0.001 Pt
0.252 0.998 0.252 Pt
0.671 0.250 0.999 Pt
0.248 0.498 0.752 Pt
0.829 0.750 0.499 Pt
0.252 0.502 0.252 Pt
0.752 0.998 0.248 Pt
0.748 0.498 0.748 Pt
0.140 0.250 0.007 Bi
0.860 0.750 0.993 Bi
0.360 0.750 0.507 Bi
0.640 0.250 0.493 Bi
0.000 0.500 0.500 Be
0.000 0.000 0.500 Be
0.500 0.500 0.000 Be
0.500 0.000 0.000 Be

=====

9.
Mg5Nb, relaxed, DFT GGA-PBE; total moment = 0.0 μB/f.u.; formation enthalpy at 0 K = 0.18 eV per atom; calculated volume = 20.96 A^3/atom; density of states at the Fermi level = 3.51 states/eV per cell; symmetry = Cmmm, No. 65
1.0
3.391 0.000 0.000
0.000 4.883 0.000
0.000 -2.441 7.594
Mg Nb
5 1
Direct
0.500 0.162 0.323 Mg
0.000 0.340 0.679 Mg
0.500 0.838 0.677 Mg
0.000 0.660 0.321 Mg
0.500 0.500 0.000 Mg
0.000 0.000 0.000 Nb

=====

10.
LaPmPr, relaxed, DFT GGA-PBE; total moment = 0.0 μB/f.u.; formation enthalpy at 0 K = 0.05 eV per atom; calculated volume = 35.69 A^3/atom; density of states at the Fermi level = 9.15 states/eV per cell; polymorph energy (0 for the lowest one) = 37 meV per atom; symmetry = Ima2, No. 46
1.0
5.638 0.108 -1.622
-3.473 5.841 -1.084
-1.093 -0.161 6.792
La Pr Pm
2 2 2
Direct
0.053 0.304 0.448 La
0.553 0.460 0.291 La
0.305 0.882 0.369 Pr
0.805 0.381 0.870 Pr
0.556 0.796 0.955 Pm
0.056 0.966 0.784 Pm

=====

11.
RbHf2Te2, relaxed, DFT GGA-PBE; total moment = 0.0 μB/f.u.; ΔE_f (raw) = -2.77 eV/f.u.; calculated volume = 30.99 A^3/atom; density of states at the Fermi level = 4.82 states/eV per cell; polymorph energy (0 for the lowest one) = 0 meV per atom; symmetry = I4/mmm, No. 139
1.0
-3.544 2.240 -0.108
-1.666 -2.494 2.932
0.549 5.166 7.706
Hf Te Rb
2 2 1
Direct
0.250 0.750 0.500 Hf
0.750 0.250 0.500 Hf
0.371 0.371 0.258 Te
0.629 0.629 0.742 Te
0.000 0.000 0.000 Rb

=====

12.
Rb3Cu2IBr9, relaxed, DFT GGA-PBE; total moment = 0.0 μB/f.u.; ΔE_f (raw) = -11.82 eV/f.u.; calculated volume = 32.13 A^3/atom; density of states at the Fermi level = 4.48 states/eV per cell; symmetry = P-3m1, No. 164
1.0
7.656 0.000 0.000
-3.828 6.630 0.000
0.000 0.000 9.495
Br Rb Cu I
9 3 2 1
Direct
0.180 0.360 0.314 Br
0.500 0.000 0.000 Br
0.180 0.820 0.314 Br
0.820 0.180 0.686 Br
0.640 0.820 0.314 Br
0.500 0.500 0.000 Br
0.360 0.180 0.686 Br
0.000 0.500 0.000 Br
0.820 0.640 0.686 Br
0.000 0.000 0.000 Rb
0.333 0.667 0.691 Rb
0.667 0.333 0.309 Rb
0.667 0.333 0.847 Cu
0.333 0.667 0.153 Cu
0.000 0.000 0.500 I

=====

13.
Cs4Nd3ThS8, relaxed, DFT GGA-PBE; total moment = 0.0 μB/f.u.; ΔE_f (raw) = -28.44 eV/f.u.; calculated volume = 31.43 A^3/atom; density of states at the Fermi level = 4.45 states/eV per cell; symmetry = R-3m, No. 166
1.0
-1.306 7.940 -2.616
-9.324 -1.628 -0.285
3.866 -1.439 7.388
S Cs Th Nd
8 4 1 3
Direct
0.226 0.687 0.961 S
0.729 0.688 0.459 S
0.225 0.687 0.451 S
0.271 0.312 0.541 S
0.736 0.687 0.961 S
0.774 0.313 0.039 S
0.775 0.313 0.549 S
0.264 0.313 0.039 S
0.000 0.000 0.000 Cs
0.000 0.000 0.500 Cs
0.500 0.000 0.000 Cs
0.500 0.000 0.500 Cs
0.000 0.500 0.000 Th
0.000 0.500 0.500 Nd
0.500 0.500 0.000 Nd
0.500 0.500 0.500 Nd

=====

14.
Ce3PaC, relaxed, DFT GGA-PBE; total moment = 0.0 μB/f.u.; formation enthalpy at 0 K = 0.13 eV per atom; calculated volume = 23.85 A^3/atom; density of states at the Fermi level = 11.10 states/eV per cell; symmetry = Pm-3m, No. 221
1.0
4.922 0.000 0.000
0.000 4.922 0.000
0.000 0.000 4.922
Pa Ce C
1 3 1
Direct
0.500 0.500 0.500 Pa
0.000 0.500 0.000 Ce
0.500 0.000 0.000 Ce
0.000 0.000 0.500 Ce
0.000 0.000 0.000 C

=====

15.
CoAg2Au, relaxed, DFT GGA-PBE; total moment = 1.7 μB/f.u.; formation enthalpy at 0 K = 0.27 eV per atom; calculated volume = 16.37 A^3/atom; density of states at the Fermi level = 3.78 states/eV per cell; polymorph energy (0 for the lowest one) = 69 meV per atom; symmetry = R-3m, No. 166
1.0
9.566 0.006 0.004
9.145 2.807 0.004
9.145 1.375 2.447
Au Ag Co
1 2 1
Direct
0.250 0.250 0.250 Au
0.006 0.006 0.006 Ag
0.494 0.494 0.494 Ag
0.750 0.750 0.750 Co

=====

16.
Pm2Pr7Sc2, relaxed, DFT GGA-PBE; total moment = 0.0 μB/f.u.; formation enthalpy at 0 K = 0.35 eV per atom; calculated volume = 35.37 A^3/atom; density of states at the Fermi level = 18.65 states/eV per cell; polymorph energy (0 for the lowest one) = 175 meV per atom; symmetry = Cmmm, No. 65
1.0
6.664 -0.002 -1.707
0.004 9.728 0.004
-2.119 -0.002 6.545
Sc Pr Pm
2 7 2
Direct
0.745 0.500 0.745 Sc
0.255 0.500 0.255 Sc
0.500 0.321 0.000 Pr
0.500 0.184 0.500 Pr
0.500 0.816 0.500 Pr
0.000 0.321 0.500 Pr
0.000 0.000 0.000 Pr
0.000 0.679 0.500 Pr
0.500 0.679 0.000 Pr
0.731 0.000 0.269 Pm
0.269 0.000 0.731 Pm

=====

17.
MgCd3In3, relaxed, DFT GGA-PBE; total moment = 0.0 μB/f.u.; formation enthalpy at 0 K = 0.03 eV per atom; calculated volume = 25.28 A^3/atom; density of states at the Fermi level = 5.65 states/eV per cell; polymorph energy (0 for the lowest one) = 22 meV per atom; symmetry = Cmmm, No. 65
1.0
-0.977 -6.844 3.016
6.054 -2.721 -3.583
3.583 1.616 4.828
Cd In Mg
6 6 2
Direct
0.500 0.000 0.756 Cd
0.000 0.000 0.239 Cd
0.500 0.000 0.244 Cd
0.000 0.000 0.761 Cd
0.000 0.500 0.756 Cd
0.000 0.500 0.244 Cd
0.654 0.346 0.500 In
0.342 0.658 0.000 In
0.346 0.654 0.500 In
0.764 0.764 0.500 In
0.658 0.342 0.000 In
0.236 0.236 0.500 In
0.751 0.751 0.000 Mg
0.249 0.249 0.000 Mg

=====

18.
Se4Cl, relaxed, DFT GGA-PBE; total moment = 1.6 μB/f.u.; ΔE_f (raw) = 5.77 eV/f.u.; calculated volume = 25.26 A^3/atom; density of states at the Fermi level = 7.64 states/eV per cell; polymorph energy (0 for the lowest one) = 913 meV per atom; symmetry = Pm-3m, No. 221
1.0
5.017 0.000 0.000
0.000 5.017 0.000
0.000 0.000 5.017
Se Cl
4 1
Direct
0.000 0.000 0.000 Se
0.000 0.500 0.500 Se
0.500 0.000 0.500 Se
0.500 0.500 0.000 Se
0.500 0.500 0.500 Cl

=====

19.
Ac6MgCd2, relaxed, DFT GGA-PBE; total moment = 0.0 μB/f.u.; formation enthalpy at 0 K = -0.09 eV per atom; calculated volume = 38.86 A^3/atom; density of states at the Fermi level = 23.76 states/eV per cell; polymorph energy (0 for the lowest one) = 8 meV per atom; symmetry = Immm, No. 71
1.0
-6.276 -1.906 7.135
0.658 -7.783 -5.737
8.888 1.906 3.360
Cd Mg Ac
4 2 12
Direct
0.500 0.374 0.874 Cd
0.500 0.626 0.126 Cd
0.361 0.000 0.361 Cd
0.639 0.000 0.639 Cd
0.000 0.500 0.500 Mg
0.000 0.000 0.000 Mg
0.084 0.266 0.817 Ac
0.799 0.250 0.049 Ac
0.201 0.250 0.451 Ac
0.449 0.266 0.183 Ac
0.551 0.734 0.817 Ac
0.201 0.750 0.951 Ac
0.724 0.045 0.321 Ac
0.799 0.750 0.549 Ac
0.916 0.734 0.183 Ac
0.724 0.403 0.679 Ac
0.276 0.955 0.679 Ac
0.276 0.597 0.321 Ac

=====

20.
BeTlRu2, relaxed, DFT GGA-PBE; total moment = 0.0 μB/f.u.; formation enthalpy at 0 K = 0.65 eV per atom; calculated volume = 15.40 A^3/atom; density of states at the Fermi level = 4.67 states/eV per cell; polymorph energy (0 for the lowest one) = 376 meV per atom; symmetry = C2/m, No. 12
1.0
-3.551 -2.740 2.623
4.966 -0.872 1.255
0.214 0.982 2.675
Ru Tl Be
2 1 1
Direct
0.500 0.500 0.000 Ru
0.000 0.000 0.000 Ru
0.500 0.000 0.500 Tl
0.000 0.500 0.500 Be

=====

21.
ScMnReTc, relaxed, DFT GGA-PBE; total moment = 0.0 μB/f.u.; formation enthalpy at 0 K = -0.10 eV per atom; calculated volume = 14.66 A^3/atom; density of states at the Fermi level = 2.03 states/eV per cell; symmetry = F-43m, No. 216
1.0
4.361 0.000 0.000
2.181 3.777 0.000
2.181 1.259 3.561
Sc Re Tc Mn
1 1 1 1
Direct
0.000 0.000 0.000 Sc
0.500 0.500 0.500 Re
0.750 0.750 0.750 Tc
0.250 0.250 0.250 Mn

=====

22.
Pr5ScTl3, relaxed, DFT GGA-PBE; total moment = 1.1 μB/f.u.; formation enthalpy at 0 K = -0.24 eV per atom; calculated volume = 30.74 A^3/atom; density of states at the Fermi level = 25.10 states/eV per cell; symmetry = P6_3/mcm, No. 193
1.0
-2.295 -4.048 5.025
8.707 -4.132 0.647
-2.060 7.785 5.332
Pr Tl Sc
10 6 2
Direct
0.000 0.667 0.333 Pr
0.000 0.333 0.667 Pr
0.250 0.675 0.000 Pr
0.250 0.325 0.325 Pr
0.750 0.675 0.675 Pr
0.750 0.000 0.325 Pr
0.750 0.325 0.000 Pr
0.250 0.000 0.675 Pr
0.500 0.667 0.333 Pr
0.500 0.333 0.667 Pr
0.250 0.666 0.666 Tl
0.750 0.000 0.666 Tl
0.750 0.666 0.000 Tl
0.750 0.334 0.334 Tl
0.250 0.000 0.334 Tl
0.250 0.334 0.000 Tl
0.000 0.000 0.000 Sc
0.500 0.000 0.000 Sc

=====

23.
KAsBr2O, relaxed, DFT GGA-PBE; total moment = 0.0 μB/f.u.; ΔE_f (raw) = -2.46 eV/f.u.; calculated volume = 29.09 A^3/atom; density of states at the Fermi level = 3.70 states/eV per cell; polymorph energy (0 for the lowest one) = 0 meV per atom; symmetry = P4/mmm, No. 123
1.0
6.275 0.000 0.000
0.000 6.275 0.000
0.000 0.000 3.694
Br O As K
2 1 1 1
Direct
0.500 0.000 0.000 Br
0.000 0.500 0.000 Br
0.000 0.000 0.000 O
0.000 0.000 0.500 As
0.500 0.500 0.500 K